No. 1
{
  "formula": "LiTeOs2",
  "functional": "PBE",
  "state": "optimized geometry",
  "magnetic_moment_mub_per_fu": 0.0,
  "dft_energy_ev_per_atom": -6.460,
  "lattice_angstrom": [[2.861, 0.000, 0.000], [0.000, 3.898, 0.000], [0.000, 0.000, 6.325]],
  "species": ["Li", "Te", "Os", "Os"],
  "fractional_positions": [[0.000, 0.000, 0.000], [0.500, 0.500, 0.805], [0.000, 0.000, 0.399], [0.500, 0.500, 0.248]]
}

=====

No. 2
{
  "formula": "YZr2Co",
  "functional": "PBE",
  "state": "optimized geometry",
  "magnetic_moment_mub_per_fu": 0.0,
  "dft_energy_ev_per_atom": -7.746,
  "relative_energy_mev_per_atom": 70,
  "ef_ev_per_atom": -0.079,
  "lattice_angstrom": [[-1.671, 2.533, 5.084], [1.671, -2.533, 5.084], [1.671, 2.533, -5.084]],
  "species": ["Y", "Zr", "Zr", "Co"],
  "fractional_positions": [[0.000, 0.000, 0.000], [0.298, 0.798, 0.500], [0.702, 0.202, 0.500], [0.500, 0.500, 0.000]]
}

=====

No. 3
{
  "formula": "NaCaPd2Ru",
  "functional": "PBE",
  "state": "optimized geometry",
  "magnetic_moment_mub_per_fu": 2.1,
  "dft_energy_ev_per_atom": -3.502,
  "relative_energy_mev_per_atom": 582,
  "ef_ev_per_atom": 1.094,
  "lattice_angstrom": [[4.653, 0.000, 0.000], [0.000, 4.653, 0.000], [0.000, 0.000, 4.826]],
  "species": ["Na", "Ca", "Pd", "Pd", "Ru"],
  "fractional_positions": [[0.000, 0.000, 0.000], [0.000, 0.000, 0.500], [0.000, 0.500, 0.000], [0.500, 0.000, 0.000], [0.500, 0.500, 0.500]]
}

=====

No. 4
{
  "formula": "K2ThRu3O12",
  "functional": "PBE",
  "state": "optimized geometry",
  "magnetic_moment_mub_per_fu": 0.0,
  "dft_energy_ev_per_atom": -6.764,
  "lattice_angstrom": [[3.739, 2.159, 5.150], [-3.739, 2.159, 5.150], [0.000, -4.318, 5.150]],
  "species": ["K", "K", "Th", "Ru", "Ru", "Ru", "O", "O", "O", "O", "O", "O", "O", "O", "O", "O", "O", "O"],
  "fractional_positions": [[0.103, 0.103, 0.103], [0.897, 0.897, 0.897], [0.500, 0.500, 0.500], [0.000, 0.500, 0.500], [0.500, 0.000, 0.500], [0.500, 0.500, 0.000], [0.094, 0.633, 0.633], [0.227, 0.227, 0.597], [0.227, 0.597, 0.227], [0.367, 0.367, 0.906], [0.367, 0.906, 0.367], [0.403, 0.773, 0.773], [0.597, 0.227, 0.227], [0.633, 0.094, 0.633], [0.633, 0.633, 0.094], [0.773, 0.403, 0.773], [0.773, 0.773, 0.403], [0.906, 0.367, 0.367]]
}

=====

No. 5
{
  "formula": "InBP2Rh",
  "functional": "PBE",
  "state": "optimized geometry",
  "magnetic_moment_mub_per_fu": 0.0,
  "dft_energy_ev_per_atom": -4.938,
  "ef_ev_per_atom": 0.580,
  "lattice_angstrom": [[4.821, 0.000, 0.000], [0.000, 4.821, 0.000], [0.000, 0.000, 3.938]],
  "species": ["In", "B", "P", "P", "Rh"],
  "fractional_positions": [[0.000, 0.000, 0.000], [0.500, 0.500, 0.000], [0.000, 0.500, 0.500], [0.500, 0.000, 0.500], [0.500, 0.500, 0.500]]
}

=====

No. 6
{
  "formula": "Sm4CuSn",
  "functional": "PBE",
  "state": "optimized geometry",
  "magnetic_moment_mub_per_fu": 0.0,
  "dft_energy_ev_per_atom": -4.617,
  "ef_ev_per_atom": -0.121,
  "lattice_angstrom": [[7.427, 0.000, 0.000], [0.000, 7.605, 0.000], [-0.599, 0.000, 6.764]],
  "species": ["Sm", "Sm", "Sm", "Sm", "Sm", "Sm", "Sm", "Sm", "Cu", "Cu", "Sn", "Sn"],
  "fractional_positions": [[0.152, 0.168, 0.176], [0.152, 0.332, 0.676], [0.329, 0.647, 0.098], [0.329, 0.853, 0.598], [0.671, 0.147, 0.402], [0.671, 0.353, 0.902], [0.848, 0.668, 0.324], [0.848, 0.832, 0.824], [0.000, 0.000, 0.500], [0.000, 0.500, 0.000], [0.500, 0.000, 0.000], [0.500, 0.500, 0.500]]
}